# 1
# PBE Cs2YTaAg, optimized geometry
# energy relative to the elements	1.577	eV/atom
data_Cs2YTaAg
_symmetry_space_group_name_H-M 'P 4/m m m'
_symmetry_Int_Tables_number 123
_symmetry_space_group_name_Hall '-P 4 2'
_cell_length_a 6.3765
_cell_length_b 6.3765
_cell_length_c 5.3532
_cell_angle_alpha 90.00
_cell_angle_beta 90.00
_cell_angle_gamma 90.00
loop_
_atom_site_label
_atom_site_type_symbol
_atom_site_fract_x
_atom_site_fract_y
_atom_site_fract_z
Cs1 Cs 0.0000 0.5000 0.0000
Y1 Y 0.0000 0.0000 0.5000
Ta1 Ta 0.5000 0.5000 0.5000
Ag1 Ag 0.5000 0.5000 0.0000

=====

# 2
# PBE Ba2Al9Pd3, optimized geometry
# energy relative to the elements	-0.495	eV/atom
data_Ba2Al9Pd3
_symmetry_space_group_name_H-M 'C 1 2/c 1'
_symmetry_Int_Tables_number 15
_symmetry_space_group_name_Hall '-C 2yc'
_cell_length_a 13.7848
_cell_length_b 7.8727
_cell_length_c 11.0278
_cell_angle_alpha 90.00
_cell_angle_beta 114.90
_cell_angle_gamma 90.00
loop_
_atom_site_label
_atom_site_type_symbol
_atom_site_fract_x
_atom_site_fract_y
_atom_site_fract_z
Ba1 Ba 0.1685 0.0829 0.2494
Al1 Al 0.0000 0.3806 0.2500
Al2 Al 0.0604 0.0915 0.9284
Al3 Al 0.0954 0.4169 0.0413
Al4 Al 0.0983 0.3228 0.7468
Al5 Al 0.2211 0.4211 0.4309
Pd1 Pd 0.0831 0.2480 0.5002
Pd2 Pd 0.2500 0.2500 0.0000

=====

# 3
# PBE YCd4Tc, optimized geometry
# energy relative to the elements	0.153	eV/atom
data_YCd4Tc
_symmetry_space_group_name_H-M 'F -4 3 m'
_symmetry_Int_Tables_number 216
_symmetry_space_group_name_Hall 'F -4 2 3'
_cell_length_a 7.9794
_cell_length_b 7.9794
_cell_length_c 7.9794
_cell_angle_alpha 90.00
_cell_angle_beta 90.00
_cell_angle_gamma 90.00
loop_
_atom_site_label
_atom_site_type_symbol
_atom_site_fract_x
_atom_site_fract_y
_atom_site_fract_z
Y1 Y 0.0000 0.0000 0.0000
Cd1 Cd 0.1243 0.1243 0.6243
Tc1 Tc 0.2500 0.2500 0.2500

=====

# 4
# PBE La6SbAs5, optimized geometry
# electronic total energy	-75.10	eV/f.u.
data_La6SbAs5
_symmetry_space_group_name_H-M 'C 1 2/m 1'
_symmetry_Int_Tables_number 12
_symmetry_space_group_name_Hall '-C 2y'
_cell_length_a 7.6569
_cell_length_b 13.2577
_cell_length_c 7.6508
_cell_angle_alpha 90.00
_cell_angle_beta 109.49
_cell_angle_gamma 90.00
loop_
_atom_site_label
_atom_site_type_symbol
_atom_site_fract_x
_atom_site_fract_y
_atom_site_fract_z
La1 La 0.2425 0.0000 0.2552
La2 La 0.2437 0.1714 0.7456
Sb1 Sb 0.0000 0.5000 0.0000
As1 As 0.0000 0.0000 0.5000
As2 As 0.0000 0.1668 0.0000
As3 As 0.0000 0.3354 0.5000

=====

# 5
# PBE TaTlCl2, optimized geometry
# excess energy over the best structure of this formula in the dataset	0.7331	eV per atom
data_TaTlCl2
_symmetry_space_group_name_H-M 'C 1 2/m 1'
_symmetry_Int_Tables_number 12
_symmetry_space_group_name_Hall '-C 2y'
_cell_length_a 6.2153
_cell_length_b 9.5914
_cell_length_c 3.1351
_cell_angle_alpha 90.00
_cell_angle_beta 115.78
_cell_angle_gamma 90.00
loop_
_atom_site_label
_atom_site_type_symbol
_atom_site_fract_x
_atom_site_fract_y
_atom_site_fract_z
Ta1 Ta 0.0000 0.0000 0.0000
Tl1 Tl 0.0000 0.5000 0.0000
Cl1 Cl 0.2500 0.2500 0.0000

=====

# 6
# PBE MgSc2Tc, optimized geometry
# energy relative to the elements	0.130	eV/atom
data_MgSc2Tc
_symmetry_space_group_name_H-M 'R -3 m'
_symmetry_Int_Tables_number 166
_symmetry_space_group_name_Hall '-R 3 2"'
_cell_length_a 3.1905
_cell_length_b 3.1905
_cell_length_c 30.6280
_cell_angle_alpha 90.00
_cell_angle_beta 90.00
_cell_angle_gamma 120.00
loop_
_atom_site_label
_atom_site_type_symbol
_atom_site_fract_x
_atom_site_fract_y
_atom_site_fract_z
Mg1 Mg 0.0000 0.0000 0.0000
Sc1 Sc 0.0000 0.0000 0.1035
Tc1 Tc 0.0000 0.0000 0.5000

=====

# 7
# PBE Cd5Pt4, optimized geometry
# energy relative to the elements	-0.222	eV/atom
# excess energy over the best structure of this formula in the dataset	0.0000	eV per atom
data_Cd5Pt4
_symmetry_space_group_name_H-M 'C 1 2/m 1'
_symmetry_Int_Tables_number 12
_symmetry_space_group_name_Hall '-C 2y'
_cell_length_a 9.7778
_cell_length_b 4.1645
_cell_length_c 9.3955
_cell_angle_alpha 90.00
_cell_angle_beta 111.07
_cell_angle_gamma 90.00
loop_
_atom_site_label
_atom_site_type_symbol
_atom_site_fract_x
_atom_site_fract_y
_atom_site_fract_z
Cd1 Cd 0.0000 0.0000 0.0000
Cd2 Cd 0.0838 0.0000 0.3830
Cd3 Cd 0.2418 0.5000 0.1748
Pt1 Pt 0.0592 0.5000 0.8532
Pt2 Pt 0.1344 0.5000 0.6111

=====

# 8
# PBE TbNpRu2, optimized geometry
# energy relative to the elements	-0.210	eV/atom
data_TbNpRu2
_symmetry_space_group_name_H-M 'P 4/m m m'
_symmetry_Int_Tables_number 123
_symmetry_space_group_name_Hall '-P 4 2'
_cell_length_a 3.3318
_cell_length_b 3.3318
_cell_length_c 7.0589
_cell_angle_alpha 90.00
_cell_angle_beta 90.00
_cell_angle_gamma 90.00
loop_
_atom_site_label
_atom_site_type_symbol
_atom_site_fract_x
_atom_site_fract_y
_atom_site_fract_z
Tb1 Tb 0.0000 0.0000 0.0000
Np1 Np 0.0000 0.0000 0.5000
Ru1 Ru 0.5000 0.5000 0.2794